# NiGeRh2O6 (PBE+U, optimized geometry)
# Total DFT energy (no corrections) ... -56.4 eV/cell
# Space group ... P4mm (99)
data_NiGeRh2O6
_chemical_formula_sum 'Ni1 Ge1 Rh2 O6'
_cell_length_a 4.566
_cell_length_b 5.246
_cell_length_c 5.246
_cell_angle_alpha 90.00
_cell_angle_beta 90.00
_cell_angle_gamma 90.00
_space_group_name_H-M_alt 'P 1'
_space_group_IT_number 1
loop_
_space_group_symop_operation_xyz
'x,y,z'
loop_
_atom_site_label
_atom_site_type_symbol
_atom_site_fract_x
_atom_site_fract_y
_atom_site_fract_z
_atom_site_occupancy
Ni1 Ni 0.592 0.500 0.500 1
Ge1 Ge 0.590 0.000 0.000 1
Rh1 Rh 0.939 0.500 0.000 1
Rh2 Rh 0.939 0.000 0.500 1
O1 O 0.749 0.240 0.240 1
O2 O 0.749 0.240 0.760 1
O3 O 0.175 0.500 0.500 1
O4 O 0.217 0.000 0.000 1
O5 O 0.749 0.760 0.760 1
O6 O 0.749 0.760 0.240 1